ZnIn2CoCu4: relaxed, PBE.

Unit cell a=4.295 b=4.295 c=6.194 alpha=90.00 beta=90.00 gamma=90.00
Site moments in Bohr magnetons follow the coordinates.
Fractional coordinates of all 8 atoms:
Cu (0.500, 0.000, 0.746)  0.00
Cu (0.500, 0.000, 0.254)  0.00
Cu (0.000, 0.500, 0.746)  -0.01
Cu (0.000, 0.500, 0.254)  -0.01
In (0.500, 0.500, 0.500)  0.00
In (0.000, 0.000, 0.000)  -0.01
Zn (0.500, 0.500, 0.000)  0.01
Co (0.000, 0.000, 0.500)  1.25

- Excess energy over the best structure of this formula in the dataset: 0.0 meV/atom
- VASP energy: -3.4811 eV per atom
- Space-group type: P4/mmm (123)



Ga3Mo2W4N3: relaxed, PBE.

Unit cell a=4.943 b=4.943 c=14.969 alpha=99.32 beta=99.32 gamma=59.76
Fractional coordinates of all 24 atoms:
Mo (0.637, 0.468, 0.902)
Mo (0.532, 0.363, 0.598)
Mo (0.363, 0.532, 0.098)
Mo (0.468, 0.637, 0.402)
Ga (0.752, 0.581, 0.250)
Ga (0.581, 0.752, 0.750)
Ga (0.087, 0.913, 0.250)
Ga (0.248, 0.419, 0.750)
Ga (0.913, 0.087, 0.750)
Ga (0.419, 0.248, 0.250)
N (0.671, 0.158, 0.000)
N (0.158, 0.671, 0.500)
N (0.842, 0.329, 0.500)
N (0.329, 0.842, 0.000)
N (0.500, 0.000, 0.500)
N (0.000, 0.500, 0.000)
W (0.864, 0.695, 0.598)
W (0.200, 0.027, 0.598)
W (0.305, 0.136, 0.902)
W (0.027, 0.200, 0.098)
W (0.136, 0.305, 0.402)
W (0.695, 0.864, 0.098)
W (0.800, 0.973, 0.402)
W (0.973, 0.800, 0.902)

- VASP energy: -8.9597 eV per atom
- Space-group type: C2/c (15)



Hf2TlPb2: relaxed, PBE.

Unit cell a=4.778 b=4.778 c=7.226 alpha=109.31 beta=109.31 gamma=90.00
Fractional coordinates of all 5 atoms:
Pb (0.384, 0.384, 0.767)
Pb (0.616, 0.616, 0.233)
Hf (0.250, 0.750, 0.500)
Hf (0.750, 0.250, 0.500)
Tl (0.000, 0.000, 0.000)

- Excess energy over the best structure of this formula in the dataset: 0.0 meV/atom
- VASP energy: -5.5293 eV per atom
- Space-group type: I4/mmm (139)